A plane-wave DFT calculation with PBE was carried out for SrReOs2 after structural relaxation.

The total magnetic moment comes out at 0.000 μB per atom. Its calculated formation energy is 1.11 eV per atom. As for the offset from the most stable computed form: 519.3 meV per atom.

The structure belongs to space group Fm-3m (No. 225); the cell edges are 6.526, 6.526 and 6.526 Å and the angles 90.00°, 90.00° and 90.00°. Symmetry generates all atoms from Sr at (0.000, 0.000, 0.000), Re at (0.000, 0.000, 0.500) and Os at (0.250, 0.250, 0.250).